Entry 1:
This record from OQMD via LeMat-Bulk describes crystalline KLiHfSe3 at its relaxed geometry. The functional is PBE.

Unit cell a=8.360 b=3.957 c=10.031 alpha=90.00 beta=110.18 gamma=90.00
Element x y z (fractional)
Li (0.925, 0.250, 0.402)
Se (0.449, 0.250, 0.133)
Se (0.896, 0.250, 0.146)
Hf (0.685, 0.750, 0.158)
Se (0.758, 0.750, 0.433)
K (0.255, 0.750, 0.293)
Se (0.104, 0.750, 0.854)
Li (0.075, 0.750, 0.598)
Se (0.242, 0.250, 0.567)
Se (0.551, 0.750, 0.867)
K (0.745, 0.250, 0.707)
Hf (0.315, 0.250, 0.842)

Computed properties:
Offset from the most stable computed form ... 4.1 meV per atom

=====

Entry 2:
This record from OQMD via LeMat-Bulk describes crystalline KLiHfTe3 at its relaxed geometry. The functional is PBE.

Unit cell a=15.755 b=4.224 c=11.410 alpha=90.00 beta=90.00 gamma=90.00
Element x y z (fractional)
Te (0.593, 0.250, 0.433)
Te (0.091, 0.750, 0.370)
Li (0.515, 0.750, 0.908)
Li (0.485, 0.250, 0.092)
Hf (0.486, 0.750, 0.330)
Hf (0.514, 0.250, 0.670)
Te (0.591, 0.750, 0.130)
K (0.272, 0.750, 0.039)
Li (0.985, 0.250, 0.408)
Li (0.015, 0.750, 0.592)
Te (0.909, 0.250, 0.630)
Te (0.633, 0.750, 0.733)
K (0.728, 0.250, 0.961)
Te (0.409, 0.250, 0.870)
Te (0.133, 0.750, 0.767)
Hf (0.014, 0.250, 0.830)
Te (0.093, 0.250, 0.067)
K (0.772, 0.750, 0.461)
K (0.228, 0.250, 0.539)
Hf (0.986, 0.750, 0.170)
Te (0.907, 0.750, 0.933)
Te (0.367, 0.250, 0.267)
Te (0.407, 0.750, 0.567)
Te (0.867, 0.250, 0.233)

Computed properties:
Offset from the most stable computed form ... 0.0 meV per atom

=====

Entry 3:
This record from OQMD via LeMat-Bulk describes crystalline KLiHfTe3 at its relaxed geometry. The functional is PBE.

Unit cell a=8.860 b=4.215 c=10.807 alpha=90.00 beta=109.95 gamma=90.00
Element x y z (fractional)
Te (0.904, 0.250, 0.142)
Hf (0.689, 0.750, 0.162)
K (0.257, 0.750, 0.296)
Li (0.075, 0.750, 0.600)
Hf (0.311, 0.250, 0.838)
Te (0.555, 0.750, 0.870)
Te (0.251, 0.250, 0.564)
K (0.743, 0.250, 0.704)
Li (0.925, 0.250, 0.400)
Te (0.445, 0.250, 0.130)
Te (0.749, 0.750, 0.436)
Te (0.096, 0.750, 0.858)

Computed properties:
Offset from the most stable computed form ... 0.8 meV per atom

=====

Entry 4:
This record from OQMD via LeMat-Bulk describes crystalline KLiHfTe3 at its relaxed geometry. The functional is PBE.

Unit cell a=8.057 b=8.057 c=11.121 alpha=90.00 beta=90.00 gamma=149.79
Element x y z (fractional)
Li (0.039, 0.961, 0.250)
K (0.752, 0.248, 0.250)
Li (0.961, 0.039, 0.750)
Te (0.435, 0.565, 0.250)
Te (0.127, 0.873, 0.044)
K (0.248, 0.752, 0.750)
Hf (0.500, 0.500, 0.500)
Te (0.873, 0.127, 0.544)
Te (0.873, 0.127, 0.956)
Hf (0.500, 0.500, 0.000)
Te (0.127, 0.873, 0.456)
Te (0.565, 0.435, 0.750)

Computed properties:
Offset from the most stable computed form ... 15.5 meV per atom

=====

Entry 5:
This record from OQMD via LeMat-Bulk describes crystalline KHfMg at its relaxed geometry. The functional is PBE.

Unit cell a=5.304 b=5.304 c=5.304 alpha=60.00 beta=60.00 gamma=60.00
Element x y z (fractional)
K (0.000, 0.000, 0.000)
Mg (0.750, 0.750, 0.750)
Hf (0.250, 0.250, 0.250)

Computed properties:
Offset from the most stable computed form ... 377.7 meV per atom

=====

Entry 6:
This record from OQMD via LeMat-Bulk describes crystalline KHfMg at its relaxed geometry. The functional is PBE.

Unit cell a=5.363 b=5.363 c=5.363 alpha=60.00 beta=60.00 gamma=60.00
Element x y z (fractional)
Hf (0.250, 0.250, 0.250)
K (0.750, 0.750, 0.750)
Mg (0.000, 0.000, 0.000)

Computed properties:
Offset from the most stable computed form ... 0.0 meV per atom

=====

Entry 7:
This record from OQMD via LeMat-Bulk describes crystalline KHfMgTe3 at its relaxed geometry. The functional is PBE.

Unit cell a=8.346 b=8.346 c=11.225 alpha=90.00 beta=90.00 gamma=150.37
Each line ends with the local moment (μB).
Element x y z (fractional)
Hf (0.000, 0.000, 0.500)  0.53
Te (0.625, 0.375, 0.543)  0.00
K (0.247, 0.753, 0.750)  0.00
Mg (0.465, 0.535, 0.250)  0.00
Te (0.375, 0.625, 0.457)  0.00
K (0.753, 0.247, 0.250)  0.00
Mg (0.535, 0.465, 0.750)  0.00
Te (0.927, 0.073, 0.750)  -0.01
Te (0.625, 0.375, 0.957)  0.00
Te (0.375, 0.625, 0.043)  0.00
Hf (0.000, 0.000, 0.000)  0.53
Te (0.073, 0.927, 0.250)  -0.01

Computed properties:
Raw total energy ... -4.479 eV per atom

=====

Entry 8:
This record from OQMD via LeMat-Bulk describes crystalline KHfMo at its relaxed geometry. The functional is PBE.

Unit cell a=4.824 b=4.824 c=4.824 alpha=60.00 beta=60.00 gamma=60.00
Element x y z (fractional)
K (0.000, 0.000, 0.000)
Mo (0.750, 0.750, 0.750)
Hf (0.250, 0.250, 0.250)

Computed properties:
Offset from the most stable computed form ... 720.9 meV per atom

=====

Entry 9:
This record from OQMD via LeMat-Bulk describes crystalline KHfMo at its relaxed geometry. The functional is PBE.

Unit cell a=4.861 b=4.861 c=4.861 alpha=60.00 beta=60.00 gamma=60.00
Element x y z (fractional)
Mo (0.000, 0.000, 0.000)
K (0.750, 0.750, 0.750)
Hf (0.250, 0.250, 0.250)

Computed properties:
Offset from the most stable computed form ... 0.0 meV per atom

=====

Entry 10:
This record from OQMD via LeMat-Bulk describes crystalline K2HfMo2 at its relaxed geometry. The functional is PBE.

Unit cell a=6.062 b=6.062 c=6.062 alpha=110.93 beta=110.93 gamma=106.59
Element x y z (fractional)
K (0.000, 0.500, 0.500)
Mo (0.353, 0.353, 0.000)
Hf (0.000, 0.000, 0.000)
Mo (0.647, 0.647, 0.000)
K (0.500, 0.000, 0.500)

Computed properties:
Raw total energy ... -4.854 eV per atom

=====

Entry 11:
This record from OQMD via LeMat-Bulk describes crystalline KNaHfS3 at its relaxed geometry. The functional is PBE.

Unit cell a=7.634 b=7.634 c=10.521 alpha=90.00 beta=90.00 gamma=150.98
Element x y z (fractional)
S (0.382, 0.618, 0.514)
Na (0.414, 0.586, 0.750)
K (0.701, 0.299, 0.750)
S (0.967, 0.033, 0.250)
S (0.382, 0.618, 0.986)
Hf (0.000, 0.000, 0.000)
S (0.618, 0.382, 0.486)
S (0.618, 0.382, 0.014)
K (0.299, 0.701, 0.250)
Na (0.586, 0.414, 0.250)
Hf (0.000, 0.000, 0.500)
S (0.033, 0.967, 0.750)

Computed properties:
Offset from the most stable computed form ... 194.7 meV per atom

=====

Entry 12:
This record from OQMD via LeMat-Bulk describes crystalline KNaHfS3 at its relaxed geometry. The functional is PBE.

Unit cell a=6.715 b=6.715 c=7.382 alpha=98.25 beta=98.25 gamma=119.31
Element x y z (fractional)
Na (0.500, 0.500, 0.500)
S (0.314, 0.314, 0.793)
S (0.066, 0.429, 0.200)
Hf (0.669, 0.331, 0.000)
S (0.934, 0.571, 0.800)
Hf (0.331, 0.669, 0.000)
K (0.155, 0.845, 0.500)
S (0.686, 0.686, 0.207)
S (0.429, 0.066, 0.200)
Na (0.000, 0.000, 0.000)
S (0.571, 0.934, 0.800)
K (0.845, 0.155, 0.500)

Computed properties:
Offset from the most stable computed form ... 0.0 meV per atom